# 1
Zn4Ag2Sn: optimized geometry, PBE.

```
Zn4Ag2Sn
1.0
-2.993 -2.124 0.717
1.906 -3.041 -1.051
3.415 1.425 8.728
Zn Ag Sn
4 2 1
direct
0.149 0.149 0.298
0.851 0.851 0.702
0.750 0.250 0.500
0.250 0.750 0.500
0.593 0.593 0.187
0.407 0.407 0.813
0.000 0.000 0.000
```

***

# 2
Zn2Ag5Sn | the Alexandria database | PBE | optimized geometry; relative energy among the computed polymorphs = 43.6 meV per atom
1.0
5.458 -0.176 -1.757
-2.938 4.603 -1.759
0.097 0.172 5.733
Zn Ag Sn
2 5 1
direct
0.278 0.778 0.500
0.778 0.278 0.500
0.278 0.278 0.500
0.278 0.778 0.000
0.778 0.278 0.000
0.778 0.778 0.500
0.278 0.277 0.000
0.778 0.778 0.000

***

# 3
ZnAg2Sn | the Alexandria database | PBE | optimized geometry; relative energy among the computed polymorphs = 39.2 meV per atom
1.0
4.547 0.000 0.000
2.273 3.938 0.000
2.273 1.313 4.450
Zn Sn Ag
1 1 2
direct
0.500 0.500 0.500
0.000 0.000 0.000
0.772 0.772 0.685
0.228 0.228 0.315

***

# 4
Zn5Ag7Sn: optimized geometry, PBE.

```
Zn5Ag7Sn
1.0
-0.466 4.392 2.776
-6.821 1.552 1.302
-0.216 -1.339 6.985
Zn Ag Sn
5 7 1
direct
0.501 0.997 0.502
0.000 0.997 0.502
0.501 0.502 0.997
0.000 0.502 0.997
0.737 0.763 0.763
0.643 0.357 0.357
0.348 0.652 0.652
0.000 0.345 0.655
0.000 0.655 0.345
0.271 0.229 0.229
0.503 0.798 0.195
0.503 0.195 0.798
0.993 0.007 0.007
```

***

# 5
ZnAg6Sn | the Alexandria database | PBE | optimized geometry; relative energy among the computed polymorphs = 0.0 meV per atom
1.0
-3.946 1.405 0.459
-0.943 0.067 -8.319
-0.904 -3.937 4.284
Zn Ag Sn
1 6 1
direct
0.000 0.889 0.779
0.000 0.877 0.247
0.000 0.370 0.247
0.000 0.371 0.742
0.500 0.629 0.746
0.500 0.116 0.746
0.500 0.124 0.248
0.500 0.623 0.246

***

# 6
Zn2Ag2Sn | the Alexandria database | PBE | optimized geometry; relative energy among the computed polymorphs = 64.7 meV per atom
1.0
-3.493 -1.305 1.430
1.905 -2.839 2.063
-0.261 1.792 6.574
Zn Sn Ag
2 1 2
direct
0.400 0.400 0.200
0.600 0.600 0.800
0.000 0.000 0.000
0.750 0.250 0.500
0.250 0.750 0.500

***

Number 1: energy relative to the elements 0.110 eV/atom. Number 2: energy relative to the elements 0.058 eV/atom. Number 3: energy relative to the elements 0.086 eV/atom. Number 4: energy relative to the elements -0.007 eV/atom. Number 5: energy relative to the elements 0.008 eV/atom. Number 6: energy relative to the elements 0.108 eV/atom.